Here is a relaxed structure of Pm2Tm9Sc from Alexandria via LeMat-Bulk. Energies are from PBE.

Energy of formation   35 meV per atom
D(E_F)   17.42 states/eV per cell
Space-group type   No. 123

Unit cell a=4.949 b=4.949 c=14.823 alpha=90.00 beta=90.00 gamma=90.00
Atoms (fractional coordinates):
Tm  0.500  0.500  0.330
Tm  0.000  0.500  0.839
Tm  0.000  0.500  0.161
Tm  0.500  0.000  0.839
Tm  0.500  0.500  0.670
Tm  0.000  0.500  0.500
Tm  0.500  0.500  0.000
Pm  0.000  0.000  0.668
Tm  0.500  0.000  0.500
Pm  0.000  0.000  0.332
Sc  0.000  0.000  0.000
Tm  0.500  0.000  0.161

=====

Here is a relaxed structure of AlTe2Se from Alexandria via LeMat-Bulk. Energies are from PBE.

D(E_F)   2.82 states/eV per cell
Space-group type   No. 166
Raw formation energy   1.7 eV per formula unit

Unit cell a=10.028 b=10.028 c=10.028 alpha=20.60 beta=20.60 gamma=20.60
Atoms (fractional coordinates):
Al  0.000  0.000  0.000
Se  0.500  0.500  0.500
Te  0.094  0.094  0.094
Te  0.906  0.906  0.906

=====

Here is a relaxed structure of TbZnSnRu from Alexandria via LeMat-Bulk. Energies are from PBE.

Energy of formation   -250 meV per atom
D(E_F)   3.07 states/eV per cell
Space-group type   No. 216

Unit cell a=4.761 b=4.761 c=4.761 alpha=60.00 beta=60.00 gamma=60.00
Atoms (fractional coordinates):
Sn  0.000  0.000  0.000
Zn  0.500  0.500  0.500
Ru  0.750  0.750  0.750
Tb  0.250  0.250  0.250

=====

Here is a relaxed structure of K3LiCe2Te6 from Alexandria via LeMat-Bulk. Energies are from PBE.

Space-group type   No. 12
Raw formation energy   -14.1 eV per formula unit

Unit cell a=7.901 b=7.901 c=8.552 alpha=98.84 beta=98.84 gamma=119.99
Atoms (fractional coordinates):
K  0.500  0.500  0.500
Te  0.069  0.409  0.206
Te  0.409  0.069  0.206
K  0.836  0.164  0.500
Ce  0.667  0.333  0.000
Ce  0.333  0.667  0.000
Li  0.000  0.000  0.000
Te  0.729  0.729  0.205
K  0.164  0.836  0.500
Te  0.591  0.931  0.794
Te  0.931  0.591  0.794
Te  0.271  0.271  0.795